A plane-wave DFT calculation with PBE-GGA was carried out for an optimized crystal structure of Re2SiOs.

a b c (Å): 8.6706 8.6706 8.6706
angles (deg): 18.46 18.46 18.46
Fractional positions:
Os: 0.7500 0.7500 0.7500
Re: 0.9978 0.9978 0.9978
Re: 0.5022 0.5022 0.5022
Si: 0.2500 0.2500 0.2500

Properties
- D(E_F) (states/eV/f.u.) = 3.840
- formation energy (no corrections) (meV per atom) = 12
- DFT total energy (eV/atom) = -10.38
- magnetization (μB per formula unit) = 0.00

=====

A plane-wave DFT calculation with PBE-GGA was carried out for an optimized crystal structure of Re2SiOs.

a b c (Å): 4.3237 4.3237 4.3237
angles (deg): 60.00 60.00 60.00
Fractional positions:
Os: 0.5000 0.5000 0.5000
Re: 0.0000 0.0000 0.0000
Re: 0.2500 0.2500 0.2500
Si: 0.7500 0.7500 0.7500

Properties
- D(E_F) (states/eV/f.u.) = 3.598
- formation energy (no corrections) (meV per atom) = 220
- DFT total energy (eV/atom) = -10.17
- magnetization (μB per formula unit) = 0.48

=====

A plane-wave DFT calculation with PBE-GGA was carried out for an optimized crystal structure of Re2SiOs.

a b c (Å): 5.1308 5.1308 5.1308
angles (deg): 147.30 129.08 61.84
Fractional positions:
Os: 0.2774 0.7774 0.5000
Re: 0.0025 0.0025 0.0000
Re: 0.7226 0.2226 0.5000
Si: 0.4975 0.4975 0.0000

Properties
- D(E_F) (states/eV/f.u.) = 2.475
- formation energy (no corrections) (meV per atom) = -86
- DFT total energy (eV/atom) = -10.47
- magnetization (μB per formula unit) = 0.00

=====

A plane-wave DFT calculation with PBE-GGA was carried out for an optimized crystal structure of Re2Si2Os.

a b c (Å): 6.9164 6.9164 2.8911
angles (deg): 90.00 90.00 90.00
Fractional positions:
Re: 0.1573 0.6573 0.5000
Re: 0.6573 0.8427 0.5000
Re: 0.8427 0.3427 0.5000
Re: 0.3427 0.1573 0.5000
Si: 0.3584 0.8584 0.0000
Si: 0.8584 0.6416 0.0000
Si: 0.6416 0.1416 0.0000
Si: 0.1416 0.3584 0.0000
Os: 0.0000 0.0000 0.0000
Os: 0.5000 0.5000 0.0000

Properties
- D(E_F) (states/eV/f.u.) = 6.201
- formation energy (no corrections) (meV per atom) = 144
- DFT total energy (eV/atom) = -9.25
- magnetization (μB per formula unit) = 0.00

=====

A plane-wave DFT calculation with PBE-GGA was carried out for an optimized crystal structure of Re2SiOs.

a b c (Å): 2.8917 2.8917 6.6646
angles (deg): 90.00 90.00 90.00
Fractional positions:
Os: 0.5000 0.5000 0.7224
Re: 0.0000 0.0000 0.0011
Re: 0.5000 0.5000 0.2732
Si: 0.0000 0.0000 0.5034

Properties
- D(E_F) (states/eV/f.u.) = 2.918
- formation energy (no corrections) (meV per atom) = -119
- DFT total energy (eV/atom) = -10.51
- magnetization (μB per formula unit) = 0.00

=====

A plane-wave DFT calculation with PBE-GGA was carried out for an optimized crystal structure of Re2SiOs.

a b c (Å): 8.5954 8.5954 8.5954
angles (deg): 18.70 18.70 18.70
Fractional positions:
Os: 0.7546 0.7546 0.7546
Re: 0.9993 0.9993 0.9993
Re: 0.2471 0.2471 0.2471
Si: 0.4990 0.4990 0.4990

Properties
- D(E_F) (states/eV/f.u.) = 4.849
- formation energy (no corrections) (meV per atom) = -12
- DFT total energy (eV/atom) = -10.40
- magnetization (μB per formula unit) = 0.00

=====

A plane-wave DFT calculation with PBE-GGA was carried out for an optimized crystal structure of Re2Si4Os.

a b c (Å): 4.5783 4.5783 6.8710
angles (deg): 70.54 70.54 90.00
Fractional positions:
Re: 0.3932 0.3932 0.2136
Re: 0.6068 0.6068 0.7864
Si: 0.1992 0.1992 0.6016
Si: 0.8008 0.8008 0.3984
Si: 0.0000 0.5000 0.0000
Si: 0.5000 0.0000 0.0000
Os: 0.0000 0.0000 0.0000

Properties
- D(E_F) (states/eV/f.u.) = 7.192
- formation energy (no corrections) (meV per atom) = 904
- DFT total energy (eV/atom) = -7.36
- magnetization (μB per formula unit) = 2.57

=====

A plane-wave DFT calculation with PBE-GGA was carried out for an optimized crystal structure of Re2Si6Os.

a b c (Å): 3.1665 6.6527 7.2874
angles (deg): 117.16 102.60 90.00
Fractional positions:
Re: 0.3359 0.3350 0.6701
Re: 0.6641 0.6650 0.3299
Si: 0.8338 0.0432 0.6667
Si: 0.1662 0.3765 0.3333
Si: 0.1662 0.9568 0.3333
Si: 0.5000 0.2867 0.0000
Si: 0.8338 0.6235 0.6667
Si: 0.5000 0.7133 0.0000
Os: 0.0000 0.0000 0.0000

Properties
- D(E_F) (states/eV/f.u.) = 3.510
- formation energy (no corrections) (meV per atom) = -107
- DFT total energy (eV/atom) = -7.74
- magnetization (μB per formula unit) = 0.00

=====

A plane-wave DFT calculation with PBE-GGA was carried out for an optimized crystal structure of Re2SiOs.

a b c (Å): 3.9796 2.7790 5.4386
angles (deg): 71.22 90.00 90.00
Fractional positions:
Os: 0.5000 0.7500 0.7500
Re: 0.0000 0.0809 0.0120
Re: 0.0000 0.4191 0.4880
Si: 0.5000 0.2500 0.2500

Properties
- D(E_F) (states/eV/f.u.) = 3.131
- formation energy (no corrections) (meV per atom) = 49
- DFT total energy (eV/atom) = -10.34
- magnetization (μB per formula unit) = 0.00

=====

A plane-wave DFT calculation with PBE-GGA was carried out for an optimized crystal structure of Re2SiOs.

a b c (Å): 2.8901 2.8901 6.6776
angles (deg): 90.00 90.00 90.00
Fractional positions:
Os: 0.5000 0.5000 0.7500
Re: 0.0000 0.0000 0.0223
Re: 0.0000 0.0000 0.4777
Si: 0.5000 0.5000 0.2500

Properties
- D(E_F) (states/eV/f.u.) = 2.412
- formation energy (no corrections) (meV per atom) = -82
- DFT total energy (eV/atom) = -10.47
- magnetization (μB per formula unit) = 0.00

=====

A plane-wave DFT calculation with PBE-GGA was carried out for an optimized crystal structure of Re2SiOs.

a b c (Å): 4.6996 4.6996 4.6996
angles (deg): 131.48 131.48 71.06
Fractional positions:
Os: 0.7500 0.2500 0.5000
Re: 0.0000 0.0000 0.0000
Re: 0.2500 0.7500 0.5000
Si: 0.5000 0.5000 0.0000

Properties
- D(E_F) (states/eV/f.u.) = 5.331
- formation energy (no corrections) (meV per atom) = 177
- DFT total energy (eV/atom) = -10.21
- magnetization (μB per formula unit) = 0.00

=====

A plane-wave DFT calculation with PBE-GGA was carried out for an optimized crystal structure of ReSi4Os.

a b c (Å): 4.8088 4.8088 4.8088
angles (deg): 60.00 60.00 60.00
Fractional positions:
Re: 0.0000 0.0000 0.0000
Si: 0.8752 0.3749 0.3749
Si: 0.3749 0.3749 0.8752
Si: 0.3749 0.8752 0.3749
Si: 0.3749 0.3749 0.3749
Os: 0.7500 0.7500 0.7500

Properties
- D(E_F) (states/eV/f.u.) = 5.671
- formation energy (no corrections) (meV per atom) = 713
- DFT total energy (eV/atom) = -6.85
- magnetization (μB per formula unit) = 0.00